No. 1
Computed, not measured: a geometry-optimized PrHo12Al6 structure at the PBE-GGA level of DFT.

```
19
Lattice="8.571 0.098 0.138 -2.030 8.328 0.138 -2.030 -2.615 7.908" Properties=species:S:1:pos:R:3 pbc="T T T"
Pr 0.000 0.000 0.000
Ho 6.269 -0.210 4.092
Ho 4.801 3.228 4.547
Ho 1.938 2.496 6.645
Ho 2.574 0.360 3.637
Ho 2.574 3.315 1.538
Ho -0.289 2.583 3.637
Ho -1.758 1.879 7.034
Ho 2.256 7.048 1.150
Ho -1.758 6.022 4.092
Ho 6.269 3.933 1.150
Ho 2.256 -1.237 7.034
Ho 1.938 5.451 4.547
Al 5.013 1.464 2.062
Al 0.176 0.226 5.607
Al 0.176 5.219 2.062
Al 4.336 5.585 2.577
Al -0.501 4.347 6.122
Al 4.336 0.592 6.122
```

## Properties
Formation enthalpy at 0 K   -0.0030 eV/atom
Space-group type   R-3m (166)



No. 2
Computed, not measured: a geometry-optimized Ta4Re3 structure at the PBE-GGA level of DFT.

```
7
Lattice="-1.602 1.602 11.370 1.602 -1.602 11.370 1.602 1.602 -11.370" Properties=species:S:1:pos:R:3 pbc="T T T"
Ta 0.000 0.000 3.333
Ta 0.000 0.000 9.779
Ta 0.000 0.000 12.961
Ta 0.000 0.000 19.407
Re 0.000 0.000 0.000
Re 0.000 0.000 6.485
Re 0.000 0.000 16.255
```

## Properties
Energy above the lowest structure with this stoichiometry   0 meV/atom
Formation enthalpy at 0 K   -0.2484 eV/atom
Space-group type   I4/mmm (139)



No. 3
Computed, not measured: a geometry-optimized Pt2Pb3 structure at the PBE-GGA level of DFT.

```
10
Lattice="-6.052 0.930 -3.511 -2.265 -4.944 -4.499 -5.777 -4.026 1.796" Properties=species:S:1:pos:R:3 pbc="T T T"
Pb -6.631 -6.636 -2.375
Pb -9.780 -4.304 -3.090
Pb -6.983 -3.137 -0.506
Pb -4.314 -3.736 -3.124
Pb -7.111 -4.903 -5.708
Pb -7.463 -1.405 -3.839
Pt -9.848 -5.384 -5.734
Pt -2.801 -1.364 -2.627
Pt -4.246 -2.656 -0.480
Pt -11.293 -6.676 -3.587
```

## Properties
Formation enthalpy at 0 K   -0.1598 eV/atom
Space-group type   R-3c (167)



No. 4
Computed, not measured: a geometry-optimized SrCa3Ga structure at the PBE-GGA level of DFT.

```
5
Lattice="-2.883 4.263 -3.756 -4.869 0.317 4.097 2.928 4.724 3.115" Properties=species:S:1:pos:R:3 pbc="T T T"
Sr 0.000 0.000 0.000
Ca -2.434 0.158 2.049
Ca 1.464 2.362 1.557
Ca -1.442 2.132 -1.878
Ga -2.412 4.652 1.728
```

## Properties
Energy above the lowest structure with this stoichiometry   1126 meV/atom
Formation enthalpy at 0 K   1.0179 eV/atom
Space-group type   Pm-3m (221)



No. 5
Computed, not measured: a geometry-optimized PmOsRh structure at the PBE-GGA level of DFT.

```
6
Lattice="-0.234 -2.859 3.919 -0.918 -0.317 -3.295 8.762 -3.589 -2.096" Properties=species:S:1:pos:R:3 pbc="T T T"
Os -0.519 -2.109 1.440
Os 3.979 -2.474 -1.567
Rh 2.709 -3.431 0.668
Rh 5.015 -4.376 0.116
Pm 6.787 -3.624 -2.239
Pm 1.171 -1.324 -0.896
```

## Properties
Formation enthalpy at 0 K   0.1195 eV/atom
Space-group type   P4/mmm (123)



No. 6
Computed, not measured: a geometry-optimized Cs2Cd2Hg structure at the PBE-GGA level of DFT.

```
10
Lattice="-5.786 0.481 -3.628 -6.102 -6.075 2.467 -5.917 5.595 3.819" Properties=species:S:1:pos:R:3 pbc="T T T"
Cs -8.889 2.378 1.645
Cs -8.917 -2.378 1.013
Cs -13.066 0.091 1.545
Cs -4.739 -0.090 1.113
Cd -6.674 2.036 -1.999
Cd -4.149 0.350 -2.594
Cd -7.554 5.726 2.785
Cd -5.030 4.040 2.190
Hg -5.159 -4.220 1.209
Hg -6.729 -1.375 -2.370
```

## Properties
Energy above the lowest structure with this stoichiometry   15 meV/atom
Formation enthalpy at 0 K   -0.0881 eV/atom
Space-group type   C2/m (12)



No. 7
Computed, not measured: a geometry-optimized Li4InSn7 structure at the PBE-GGA level of DFT.

```
12
Lattice="-0.388 -6.136 -0.400 4.520 -8.058 4.868 -3.838 -3.276 5.162" Properties=species:S:1:pos:R:3 pbc="T T T"
Li -1.264 -7.855 4.846
Li 1.557 -9.615 4.785
Li -0.370 -12.642 7.282
Li 0.663 -4.827 2.348
In 0.000 0.000 0.000
Sn -2.058 -6.276 2.323
Sn 2.351 -11.194 7.307
Sn 1.593 -6.566 4.930
Sn -1.300 -10.904 4.701
Sn -0.467 -9.434 7.346
Sn -0.194 -3.068 -0.200
Sn 0.760 -8.036 2.285
```

## Properties
Formation enthalpy at 0 K   -0.1594 eV/atom
Space-group type   P-1 (2)



No. 8
Computed, not measured: a geometry-optimized Co2TcHIr structure at the PBE-GGA level of DFT.

```
5
Lattice="3.730 0.000 0.000 0.000 3.730 0.000 0.000 0.000 3.769" Properties=species:S:1:pos:R:3 pbc="T T T"
H 0.000 0.000 0.000
Ir 1.865 1.865 1.885
Co 0.000 1.865 0.000
Co 1.865 0.000 0.000
Tc 0.000 0.000 1.885
```

## Properties
Energy above the lowest structure with this stoichiometry   0 meV/atom
Space-group type   P4/mmm (123)



Number 1: final energy -4.33 eV per atom. Number 2: final energy -12.36 eV per atom. Number 3: final energy -4.80 eV per atom. Number 4: final energy -1.12 eV per atom. Number 5: final energy -7.66 eV per atom. Number 6: final energy -0.86 eV per atom. Number 7: final energy -3.36 eV per atom. Number 8: final energy -7.30 eV per atom.